[1]
Below is CeGa2Ni5Au after structural relaxation, with properties calculated at the PBE level.

```
CeGa2Ni5Au
1.0
-0.9966 -2.3773 -2.8001
3.2224 0.8268 -1.8488
4.2660 -6.9076 4.3463
Au Ni Ga Ce
1 5 2 1
direct
0.0000 0.0000 0.0000
0.5000 0.0000 0.2900
0.0000 0.5000 0.2900
0.5000 0.5000 0.5000
0.0000 0.5000 0.7100
0.5000 0.0000 0.7100
0.5000 0.5000 0.8681
0.5000 0.5000 0.1319
0.0000 0.0000 0.5000
```

Properties
The formation energy comes out at -0.165 eV/atom.

[2]
Below is Ce2Ga4Ni3Au after structural relaxation, with properties calculated at the PBE level.

```
Ce2Ga4Ni3Au
1.0
-3.1657 -0.8966 2.5016
-0.9474 -3.2543 -2.3654
6.2260 -5.9810 5.7350
Ce Au Ga Ni
2 1 4 3
direct
0.0000 0.5000 0.7638
0.5000 0.0000 0.2362
0.5000 0.5000 0.5000
0.5000 0.5000 0.0000
0.0000 0.5000 0.3572
0.5000 0.0000 0.6428
0.0000 0.0000 0.0000
0.5000 0.0000 0.8709
0.0000 0.0000 0.5000
0.0000 0.5000 0.1291
```

Properties
The formation energy comes out at -0.549 eV/atom.

[3]
Below is Ce2Ga4NiAu3 after structural relaxation, with properties calculated at the PBE level.

```
Ce2Ga4NiAu3
1.0
-1.9564 -3.2455 -2.1650
3.9011 -1.6580 -1.0396
-0.1189 -5.7777 8.7686
Ga Ce Au Ni
4 2 3 1
direct
0.5000 0.5000 0.0000
0.0000 0.0000 0.0000
0.5000 0.0000 0.6205
0.0000 0.5000 0.3795
0.0000 0.5000 0.7395
0.5000 0.0000 0.2605
0.0000 0.5000 0.1391
0.5000 0.0000 0.8609
0.0000 0.0000 0.5000
0.5000 0.5000 0.5000
```

Properties
The formation energy comes out at -0.556 eV/atom.

[4]
Below is CePaGaAu after structural relaxation, with properties calculated at the PBE level.

```
CePaGaAu
1.0
5.1424 0.0000 0.0000
2.5712 4.4535 0.0000
2.5712 1.4845 4.1988
Au Ga Ce Pa
1 1 1 1
direct
0.0000 0.0000 0.0000
0.5000 0.5000 0.5000
0.2500 0.2500 0.2500
0.7500 0.7500 0.7500
```

Properties
The formation energy comes out at -0.238 eV/atom.